Record 1
SrTc2Ir2: relaxed, GGA-PBE.

Summary:
symmetry: I4/mmm, No. 139
calculated formation energy: 0.10 eV per atom
magnetic moment: 0.00 μB per formula unit
energy above the lowest structure with this stoichiometry: 0.00 eV per formula unit

Cell lengths 6.185, 6.185, 6.185 Å; angles 139.93, 139.93, 57.95 degrees
Sites, in units of the cell vectors:
Sr: 0.000 0.000 0.000
Tc: 0.250 0.750 0.500
Tc: 0.750 0.250 0.500
Ir: 0.385 0.385 0.000
Ir: 0.615 0.615 0.000

---

Record 2
SrTcIr2: relaxed, GGA-PBE.

Summary:
symmetry: I-4m2, No. 119
calculated formation energy: 0.71 eV per atom
magnetic moment: 0.87 μB per formula unit
energy above the lowest structure with this stoichiometry: 2.40 eV per formula unit

Cell lengths 5.098, 5.098, 5.098 Å; angles 132.20, 132.20, 69.91 degrees
Sites, in units of the cell vectors:
Sr: 0.000 0.000 0.000
Tc: 0.250 0.750 0.500
Ir: 0.500 0.500 0.000
Ir: 0.750 0.250 0.500

---

Record 3
SrTcIr2: relaxed, GGA-PBE.

Summary:
symmetry: Pmm2, No. 25
calculated formation energy: 0.36 eV per atom
magnetic moment: 0.00 μB per formula unit
energy above the lowest structure with this stoichiometry: 0.99 eV per formula unit

Cell lengths 2.795, 3.897, 7.018 Å; angles 90.00, 90.00, 90.00 degrees
Sites, in units of the cell vectors:
Sr: 0.000 0.000 0.000
Tc: 0.500 0.500 0.343
Ir: 0.000 0.000 0.501
Ir: 0.500 0.500 0.706

---

Record 4
SrTcIr2: relaxed, GGA-PBE.

Summary:
symmetry: R-3m, No. 166
calculated formation energy: 0.51 eV per atom
magnetic moment: 0.00 μB per formula unit
energy above the lowest structure with this stoichiometry: 1.57 eV per formula unit

Cell lengths 9.790, 9.790, 9.790 Å; angles 16.93, 16.93, 16.93 degrees
Sites, in units of the cell vectors:
Sr: 0.000 0.000 0.000
Tc: 0.500 0.500 0.500
Ir: 0.239 0.239 0.239
Ir: 0.761 0.761 0.761

---

Record 5
SrTcIr2: relaxed, GGA-PBE.

Summary:
symmetry: Immm, No. 71
calculated formation energy: 0.62 eV per atom
magnetic moment: 0.00 μB per formula unit
energy above the lowest structure with this stoichiometry: 2.01 eV per formula unit

Cell lengths 5.330, 5.330, 5.330 Å; angles 140.64, 122.37, 72.03 degrees
Sites, in units of the cell vectors:
Sr: 0.000 0.000 0.000
Tc: 0.500 0.500 0.000
Ir: 0.299 0.799 0.500
Ir: 0.701 0.201 0.500

---

Record 6
SrTcIr2: relaxed, GGA-PBE.

Summary:
symmetry: Fm-3m, No. 225
calculated formation energy: 0.69 eV per atom
magnetic moment: 2.94 μB per formula unit
energy above the lowest structure with this stoichiometry: 2.32 eV per formula unit

Cell lengths 4.697, 4.697, 4.697 Å; angles 60.00, 60.00, 60.00 degrees
Sites, in units of the cell vectors:
Sr: 0.000 0.000 0.000
Tc: 0.500 0.500 0.500
Ir: 0.250 0.250 0.250
Ir: 0.750 0.750 0.750

---

Record 7
SrTcIr2: relaxed, GGA-PBE.

Summary:
symmetry: I4/mmm, No. 139
calculated formation energy: 0.65 eV per atom
magnetic moment: 1.94 μB per formula unit
energy above the lowest structure with this stoichiometry: 2.15 eV per formula unit

Cell lengths 4.917, 4.917, 4.917 Å; angles 127.79, 127.79, 76.96 degrees
Sites, in units of the cell vectors:
Sr: 0.000 0.000 0.000
Tc: 0.500 0.500 0.000
Ir: 0.250 0.750 0.500
Ir: 0.750 0.250 0.500

---

Record 8
SrTcIr2: relaxed, GGA-PBE.

Summary:
symmetry: Cmmm, No. 65
calculated formation energy: 0.48 eV per atom
magnetic moment: 0.66 μB per formula unit
energy above the lowest structure with this stoichiometry: 1.44 eV per formula unit

Cell lengths 5.058, 5.058, 2.850 Å; angles 90.00, 90.00, 106.98 degrees
Sites, in units of the cell vectors:
Sr: 0.000 0.000 0.000
Tc: 0.500 0.500 0.000
Ir: 0.000 0.500 0.500
Ir: 0.500 0.000 0.500

---

Record 9
Sr3TcIr: relaxed, GGA-PBE.

Summary:
symmetry: Pm-3m, No. 221
calculated formation energy: 0.74 eV per atom
magnetic moment: 3.73 μB per formula unit
energy above the lowest structure with this stoichiometry: 0.00 eV per formula unit

Cell lengths 5.736, 5.736, 5.736 Å; angles 90.00, 90.00, 90.00 degrees
Sites, in units of the cell vectors:
Sr: 0.000 0.000 0.500
Sr: 0.000 0.500 0.000
Sr: 0.500 0.000 0.000
Tc: 0.500 0.500 0.500
Ir: 0.000 0.000 0.000

---

Record 10
SrTcIr2: relaxed, GGA-PBE.

Summary:
symmetry: Pmmm, No. 47
calculated formation energy: 0.17 eV per atom
magnetic moment: 0.00 μB per formula unit
energy above the lowest structure with this stoichiometry: 0.21 eV per formula unit

Cell lengths 2.845, 3.587, 7.408 Å; angles 90.00, 90.00, 90.00 degrees
Sites, in units of the cell vectors:
Sr: 0.000 0.000 0.000
Tc: 0.000 0.000 0.500
Ir: 0.500 0.500 0.315
Ir: 0.500 0.500 0.685

---

Record 11
Sr2TcIr2: relaxed, GGA-PBE.

Summary:
symmetry: P4/mbm, No. 127
calculated formation energy: 0.08 eV per atom
magnetic moment: 0.00 μB per formula unit
energy above the lowest structure with this stoichiometry: 0.00 eV per formula unit

Cell lengths 6.652, 6.652, 5.066 Å; angles 90.00, 90.00, 90.00 degrees
Sites, in units of the cell vectors:
Sr: 0.180 0.320 0.000
Sr: 0.320 0.820 0.000
Sr: 0.680 0.180 0.000
Sr: 0.820 0.680 0.000
Tc: 0.000 0.000 0.500
Tc: 0.500 0.500 0.500
Ir: 0.137 0.637 0.500
Ir: 0.363 0.137 0.500
Ir: 0.637 0.863 0.500
Ir: 0.863 0.363 0.500

---

Record 12
Sr2TcIr2: relaxed, GGA-PBE.

Summary:
symmetry: I4/mmm, No. 139
calculated formation energy: 0.65 eV per atom
magnetic moment: 1.81 μB per formula unit
energy above the lowest structure with this stoichiometry: 2.85 eV per formula unit

Cell lengths 10.060, 10.060, 10.060 Å; angles 159.55, 159.55, 29.08 degrees
Sites, in units of the cell vectors:
Sr: 0.109 0.109 0.000
Sr: 0.891 0.891 0.000
Tc: 0.500 0.500 0.000
Ir: 0.250 0.750 0.500
Ir: 0.750 0.250 0.500